Entry from Alexandria via LeMat-Bulk: crystalline TbNdDy2 at its relaxed geometry (PBE).

extended XYZ file:
```
4
Lattice="-3.276 -0.858 -1.214 -1.051 -3.440 -0.063 -5.712 -0.324 10.317" Properties=species:S:1:pos:R:3 pbc="T T T"
Tb -2.887 -2.865 -0.845
Dy -2.494 -1.160 2.221
Dy -4.664 -0.596 7.679
Nd -5.014 -2.312 4.507
```

Uncorrected energy in eV/atom: -4.6342
Space-group type: R3m (160)
Crystal system: trigonal

Entry from Alexandria via LeMat-Bulk: crystalline CsBS3 at its relaxed geometry (PBE).

extended XYZ file:
```
10
Lattice="-1.107 2.221 2.171 -8.281 -2.028 -2.146 1.052 -7.111 7.809" Properties=species:S:1:pos:R:3 pbc="T T T"
S -4.990 -2.813 4.090
S -2.444 -5.411 8.044
B -1.057 -4.403 7.720
S -8.647 -2.022 1.417
Cs -5.517 -5.395 6.463
S -5.891 -1.506 -0.210
Cs -2.819 -1.522 1.372
S 0.312 -4.895 6.418
S -3.345 -4.104 3.745
B -7.279 -2.515 0.115
```

Space-group type: P2_1/m (11)
Crystal system: monoclinic
Formation energy from raw total energies in eV/f.u.: -2.053

Entry from Alexandria via LeMat-Bulk: crystalline MnBi2Pt at its relaxed geometry (PBE).

extended XYZ file:
```
4
Lattice="0.029 -2.627 4.250 -2.656 1.575 3.929 -4.086 -2.502 1.418" Properties=species:S:1:pos:R:3 pbc="T T T"
Pt -3.357 -1.777 4.799
Bi -5.035 -2.666 7.198
Mn 0.000 0.000 0.000
Bi -1.678 -0.889 2.399
```

Uncorrected energy in eV/atom: -5.5393
Space-group type: Fm-3m (225)
Crystal system: cubic

Entry from Alexandria via LeMat-Bulk: crystalline La2SmMg2In2 at its relaxed geometry (PBE).

extended XYZ file:
```
7
Lattice="5.044 0.000 0.000 2.522 4.368 0.000 2.522 1.456 9.103" Properties=species:S:1:pos:R:3 pbc="T T T"
La 2.522 1.456 5.511
Mg 5.044 2.912 1.735
In 2.522 1.456 1.810
Sm 0.000 0.000 0.000
La 7.566 4.368 3.591
Mg 5.044 2.912 7.368
In 7.566 4.368 7.292
```

Uncorrected energy in eV/atom: -3.6040
Space-group type: R-3m (166)
Crystal system: trigonal

Entry from Alexandria via LeMat-Bulk: crystalline Li3HoNp2Se6 at its relaxed geometry (PBE).

extended XYZ file:
```
12
Lattice="7.076 -0.001 0.001 -3.537 6.128 0.001 -1.180 -2.043 6.485" Properties=species:S:1:pos:R:3 pbc="T T T"
Np 3.540 2.042 0.001
Li -2.376 4.096 3.244
Se 2.368 4.101 1.655
Se -0.009 -0.016 4.832
Se 0.018 4.085 4.831
Li 1.179 2.042 3.244
Ho 0.000 0.000 0.000
Se 2.341 0.000 1.656
Se 3.529 2.057 4.831
Se -1.170 2.028 1.656
Np -0.001 4.086 0.001
Li 4.735 -0.011 3.244
```

Space-group type: C2/m (12)
Crystal system: monoclinic
Formation energy from raw total energies in eV/f.u.: -16.191

Entry from Alexandria via LeMat-Bulk: crystalline PaTi2Be at its relaxed geometry (PBE).

extended XYZ file:
```
4
Lattice="2.953 0.000 0.000 1.476 2.557 0.000 1.476 0.852 9.280" Properties=species:S:1:pos:R:3 pbc="T T T"
Be 2.953 1.705 4.640
Pa 0.000 0.000 0.000
Ti 4.429 2.557 2.832
Ti 1.476 0.852 6.447
```

Uncorrected energy in eV/atom: -6.9069
Space-group type: R-3m (166)
Crystal system: trigonal

Let's list size of the total moment in order: 0.0 0.1 3.8 0.0 8.0 0.0 μB/f.u..